This record from Alexandria via LeMat-Bulk describes a geometry-optimized YGaPt3 structure. The functional is GGA-PBE.

The value obtained for the volume is 19.13 Å³/atom. Its total energy is -6.403 eV/atom. As for the energy above the most stable polymorph in this dataset: 0.0000 eV per atom. Its calculated density is 12.91 Mg/m³. The density of states at the Fermi level comes out at 3.84 states/eV/cell.

It has space group Pmn2_1 (No. 31), with a = 5.6914 Å, b = 4.4627 Å, c = 7.5325 Å, α = 90.00°, β = 90.00° and γ = 90.00°. The distinct sites, in fractional coordinates, are Y at (0.0000, 0.0763, 0.0000), Ga at (0.0000, 0.3335, 0.5765), Pt at (0.0000, 0.8713, 0.3972) and Pt at (0.2464, 0.6198, 0.7864).